1.
{"formula": "SmGdSnRu", "functional": "PBE", "state": "relaxed", "lattice": [[5.1493, 0.0000, 0.0000], [2.5747, 4.4594, 0.0000], [2.5747, 1.4865, 4.2044]], "species": ["Sn", "Ru", "Gd", "Sm"], "fractional_positions": [[0.2500, 0.2500, 0.2500], [0.7500, 0.7500, 0.7500], [0.0000, 0.0000, 0.0000], [0.5000, 0.5000, 0.5000]], "dos_at_fermi_per_ev_atom": 0.672, "delta_e_f_ev_per_atom": -0.354}

2.
{"formula": "SmGdYRu", "functional": "PBE", "state": "relaxed", "lattice": [[-0.2475, 0.2853, -5.1907], [-4.5340, -0.7730, -2.4354], [-2.4466, 3.9917, -2.2730]], "species": ["Y", "Sm", "Gd", "Ru"], "fractional_positions": [[0.7500, 0.7500, 0.7500], [0.5000, 0.5000, 0.5000], [0.0000, 0.0000, 0.0000], [0.2500, 0.2500, 0.2500]], "dos_at_fermi_per_ev_atom": 1.722, "delta_e_f_ev_per_atom": 0.136}

3.
{"formula": "Gd2SnRu", "functional": "PBE", "state": "relaxed", "lattice": [[3.4046, 0.0000, 0.0000], [0.0000, 3.4046, 0.0000], [0.0000, 0.0000, 8.2610]], "species": ["Ru", "Gd", "Gd", "Sn"], "fractional_positions": [[0.5000, 0.5000, 0.0000], [0.0000, 0.0000, 0.2080], [0.0000, 0.0000, 0.7920], [0.5000, 0.5000, 0.5000]], "dos_at_fermi_per_ev_atom": 0.571, "delta_e_f_ev_per_atom": -0.515}

4.
{"formula": "GdSnRu2", "functional": "PBE", "state": "relaxed", "lattice": [[-0.7770, 1.0931, -3.0682], [-1.8129, -2.7657, -0.5262], [-5.3356, 3.0346, 2.4323]], "species": ["Sn", "Ru", "Ru", "Gd"], "fractional_positions": [[0.5000, 0.5000, 0.0000], [0.0000, 0.0000, 0.7732], [0.0000, 0.0000, 0.2268], [0.5000, 0.5000, 0.5000]], "dos_at_fermi_per_ev_atom": 0.804, "delta_e_f_ev_per_atom": -0.232}

5.
{"formula": "Gd2SnRu", "functional": "PBE", "state": "relaxed", "lattice": [[3.6057, 0.0000, 0.0000], [1.8028, 3.1226, 0.0000], [1.8028, 1.0409, 9.0238]], "species": ["Ru", "Sn", "Gd", "Gd"], "fractional_positions": [[0.0000, 0.0000, 0.0000], [0.5000, 0.5000, 0.5000], [0.7370, 0.7370, 0.7891], [0.2630, 0.2630, 0.2109]], "dos_at_fermi_per_ev_atom": 0.653, "delta_e_f_ev_per_atom": -0.296}

6.
{"formula": "GdSn6Ru4", "functional": "PBE", "state": "relaxed", "lattice": [[6.9532, -0.0034, 0.0000], [0.0750, 6.9528, 0.0000], [-3.5141, -3.4747, 4.8912]], "species": ["Ru", "Ru", "Ru", "Ru", "Sn", "Sn", "Sn", "Sn", "Sn", "Sn", "Gd"], "fractional_positions": [[0.4033, 0.4033, 0.6525], [0.5966, 0.2489, 0.0000], [0.2489, 0.5966, 0.0000], [0.7508, 0.7508, 0.3475], [0.4690, 0.4690, 0.3507], [0.5000, 0.0000, 0.5000], [0.1183, 0.1183, 0.6493], [0.8816, 0.5312, 0.0000], [0.0000, 0.5000, 0.5000], [0.5312, 0.8816, 0.0000], [0.0003, 0.0003, 0.0000]], "dos_at_fermi_per_ev_atom": 0.606, "delta_e_f_ev_per_atom": -0.333}